The following is a PBE calculation of an optimized crystal structure of BeSiPb2, from Alexandria via LeMat-Bulk.

Results
As for the formation energy without anion corrections: 0.698 eV/atom. Its volume is 22.88 Å³/atom. The energy relative to the lowest polymorph listed for this composition comes out at 42.06 kJ per mole of atoms.

Lattice parameters (Å, degrees): 4.1792 5.4384 8.0543 90.00 90.00 90.00
Fractional positions:
Be (0.0000, 0.0000, 0.0000)
Be (0.5000, 0.5000, 0.5000)
Si (0.0000, 0.0000, 0.5000)
Si (0.5000, 0.5000, 0.0000)
Pb (0.0000, 0.5000, 0.2769)
Pb (0.0000, 0.5000, 0.7231)
Pb (0.5000, 0.0000, 0.2231)
Pb (0.5000, 0.0000, 0.7769)